# Y3CrH

An optimized crystal structure of Y3CrH (GGA-PBEsol, Alexandria via LeMat-Bulk).

Geometry as CIF:
```
data_Y3CrH
_chemical_formula_sum 'Y3 Cr1 H1'
_symmetry_space_group_name_H-M 'P 1'
_symmetry_Int_Tables_number 1
_symmetry_space_group_name_Hall 'P 1'
_cell_length_a 4.732
_cell_length_b 4.732
_cell_length_c 4.732
_cell_angle_alpha 90.00
_cell_angle_beta 90.00
_cell_angle_gamma 90.00
loop_
_atom_site_label
_atom_site_type_symbol
_atom_site_fract_x
_atom_site_fract_y
_atom_site_fract_z
Cr1 Cr 0.500 0.500 0.500
Y1 Y 0.500 0.000 0.000
H1 H 0.000 0.000 0.000
Y2 Y 0.000 0.500 0.000
Y3 Y 0.000 0.000 0.500
```

Output
VASP energy = -0.4905 Ry/atom
ρ = 5.012 g/cm³
M_tot = 2.82 μB per formula unit
ΔE to the lowest computed polymorph = 0.0 meV per atom
Space-group type = No. 221

# ZnCr3H

An optimized crystal structure of ZnCr3H (GGA-PBEsol, Alexandria via LeMat-Bulk).

Geometry as CIF:
```
data_ZnCr3H
_chemical_formula_sum 'Zn1 Cr3 H1'
_symmetry_space_group_name_H-M 'P 1'
_symmetry_Int_Tables_number 1
_symmetry_space_group_name_Hall 'P 1'
_cell_length_a 3.644
_cell_length_b 3.644
_cell_length_c 3.644
_cell_angle_alpha 90.00
_cell_angle_beta 90.00
_cell_angle_gamma 90.00
loop_
_atom_site_label
_atom_site_type_symbol
_atom_site_fract_x
_atom_site_fract_y
_atom_site_fract_z
Zn1 Zn 0.500 0.500 0.500
H1 H 0.000 0.000 0.000
Cr1 Cr 0.000 0.000 0.500
Cr2 Cr 0.000 0.500 0.000
Cr3 Cr 0.500 0.000 0.000
```

Output
VASP energy = -0.5106 Ry/atom
ρ = 7.631 g/cm³
M_tot = 0.00 μB per formula unit
Space-group type = No. 221

# ZnCr2H2

An optimized crystal structure of ZnCr2H2 (GGA-PBEsol, Alexandria via LeMat-Bulk).

Geometry as CIF:
```
data_ZnCr2H2
_chemical_formula_sum 'Zn1 Cr2 H2'
_symmetry_space_group_name_H-M 'P 1'
_symmetry_Int_Tables_number 1
_symmetry_space_group_name_Hall 'P 1'
_cell_length_a 3.102
_cell_length_b 3.102
_cell_length_c 4.740
_cell_angle_alpha 109.10
_cell_angle_beta 109.10
_cell_angle_gamma 90.00
loop_
_atom_site_label
_atom_site_type_symbol
_atom_site_fract_x
_atom_site_fract_y
_atom_site_fract_z
Cr1 Cr 0.338 0.338 0.676
H1 H 0.750 0.250 0.500
H2 H 0.250 0.750 0.500
Cr2 Cr 0.662 0.662 0.324
Zn1 Zn 0.000 0.000 0.000
```

Output
VASP energy = -0.4161 Ry/atom
ρ = 7.041 g/cm³
M_tot = 0.00 μB per formula unit
Space-group type = No. 139

# HfCr2

An optimized crystal structure of HfCr2 (GGA-PBEsol, Alexandria via LeMat-Bulk).

Geometry as CIF:
```
data_HfCr2
_chemical_formula_sum 'Hf4 Cr8'
_symmetry_space_group_name_H-M 'P 1'
_symmetry_Int_Tables_number 1
_symmetry_space_group_name_Hall 'P 1'
_cell_length_a 4.984
_cell_length_b 4.984
_cell_length_c 7.970
_cell_angle_alpha 90.00
_cell_angle_beta 90.00
_cell_angle_gamma 120.00
loop_
_atom_site_label
_atom_site_type_symbol
_atom_site_fract_x
_atom_site_fract_y
_atom_site_fract_z
Hf1 Hf 0.667 0.333 0.560
Cr1 Cr 0.832 0.168 0.250
Cr2 Cr 0.663 0.832 0.750
Cr3 Cr 0.168 0.832 0.750
Cr4 Cr 0.000 0.000 0.500
Cr5 Cr 0.000 0.000 0.000
Hf2 Hf 0.333 0.667 0.060
Cr6 Cr 0.337 0.168 0.250
Cr7 Cr 0.832 0.663 0.250
Hf3 Hf 0.333 0.667 0.440
Hf4 Hf 0.667 0.333 0.940
Cr8 Cr 0.168 0.337 0.750
```

Output
VASP energy = -0.7658 Ry/atom
ρ = 10.943 g/cm³
M_tot = 0.00 μB per formula unit
E_form = -0.091 eV per atom
Space-group type = No. 194

# HfCr2

An optimized crystal structure of HfCr2 (GGA-PBEsol, Alexandria via LeMat-Bulk).

Geometry as CIF:
```
data_HfCr2
_chemical_formula_sum 'Hf2 Cr4'
_symmetry_space_group_name_H-M 'P 1'
_symmetry_Int_Tables_number 1
_symmetry_space_group_name_Hall 'P 1'
_cell_length_a 4.947
_cell_length_b 4.947
_cell_length_c 4.947
_cell_angle_alpha 60.00
_cell_angle_beta 60.00
_cell_angle_gamma 60.00
loop_
_atom_site_label
_atom_site_type_symbol
_atom_site_fract_x
_atom_site_fract_y
_atom_site_fract_z
Hf1 Hf 0.000 0.000 0.000
Cr1 Cr 0.625 0.625 0.625
Hf2 Hf 0.250 0.250 0.250
Cr2 Cr 0.625 0.625 0.125
Cr3 Cr 0.125 0.625 0.625
Cr4 Cr 0.625 0.125 0.625
```

Output
VASP energy = -0.7672 Ry/atom
ρ = 10.956 g/cm³
M_tot = 0.00 μB per formula unit
E_form = -0.110 eV per atom
Space-group type = No. 227

# Hf3CrHg

An optimized crystal structure of Hf3CrHg (GGA-PBEsol, Alexandria via LeMat-Bulk).

Geometry as CIF:
```
data_Hf3CrHg
_chemical_formula_sum 'Hf3 Cr1 Hg1'
_symmetry_space_group_name_H-M 'P 1'
_symmetry_Int_Tables_number 1
_symmetry_space_group_name_Hall 'P 1'
_cell_length_a 4.740
_cell_length_b 4.740
_cell_length_c 4.740
_cell_angle_alpha 90.00
_cell_angle_beta 90.00
_cell_angle_gamma 90.00
loop_
_atom_site_label
_atom_site_type_symbol
_atom_site_fract_x
_atom_site_fract_y
_atom_site_fract_z
Hg1 Hg 0.500 0.500 0.500
Hf1 Hf 0.500 0.000 0.000
Hf2 Hf 0.000 0.500 0.000
Cr1 Cr 0.000 0.000 0.000
Hf3 Hf 0.000 0.000 0.500
```

Output
VASP energy = -0.5812 Ry/atom
ρ = 12.288 g/cm³
M_tot = 0.00 μB per formula unit
ΔE to the lowest computed polymorph = 0.0 meV per atom
E_form = 0.556 eV per atom
Space-group type = No. 221